(1)
## K2MgTl (GGA-PBE)

Data for K2MgTl after structural relaxation.

For the formation energy, the calculation gives 0.01 eV/atom. The density of states at the Fermi level is 7.61 states/eV/cell.

It has space group Cm (No. 8), with a = 9.202 Å, b = 5.296 Å, c = 7.612 Å, α = 90.00°, β = 113.56° and γ = 90.00°. The inequivalent atoms are K at (0.000, 0.000, 0.000), K at (0.203, 0.000, 0.615), Mg at (0.435, 0.000, 0.308) and Tl at (0.269, 0.500, 0.309).

(2)
## KMg3Tl9 (GGA-PBE)

Data for KMg3Tl9 after structural relaxation.

For the formation energy, the calculation gives -0.03 eV/atom. The density of states at the Fermi level is 15.26 states/eV/cell.

It has space group C2/m (No. 12), with a = 6.234 Å, b = 15.919 Å, c = 8.360 Å, α = 90.00°, β = 111.84° and γ = 90.00°. The inequivalent atoms are K at (0.000, 0.000, 0.000), Mg at (0.000, 0.500, 0.500), Mg at (0.250, 0.250, 0.000), Tl at (0.000, 0.000, 0.500), Tl at (0.093, 0.390, 0.212) and Tl at (0.176, 0.178, 0.348).

(3)
## K2MgTl (GGA-PBE)

Data for K2MgTl after structural relaxation.

For the formation energy, the calculation gives 0.02 eV/atom. The density of states at the Fermi level is 2.48 states/eV/cell.

It has space group P4mm (No. 99), with a = 4.095 Å, b = 4.095 Å, c = 10.246 Å, α = 90.00°, β = 90.00° and γ = 90.00°. The inequivalent atoms are K at (0.000, 0.000, 0.000), K at (0.500, 0.500, 0.378), Mg at (0.000, 0.000, 0.642) and Tl at (0.500, 0.500, 0.747).

(4)
## K2MgTl (GGA-PBE)

Data for K2MgTl after structural relaxation.

For the formation energy, the calculation gives 0.12 eV/atom. The density of states at the Fermi level is 3.19 states/eV/cell.

It has space group P4/mmm (No. 123), with a = 5.264 Å, b = 5.264 Å, c = 5.661 Å, α = 90.00°, β = 90.00° and γ = 90.00°. The inequivalent atoms are K at (0.000, 0.500, 0.000), Mg at (0.000, 0.000, 0.500) and Tl at (0.500, 0.500, 0.500).

(5)
## KMg6Tl12 (GGA-PBE)

Data for KMg6Tl12 after structural relaxation.

The energy relative to the lowest polymorph listed for this composition is 0.0 kJ/mol of formula units. For the formation energy, the calculation gives -0.01 eV/atom. The density of states at the Fermi level is 26.59 states/eV/cell.

It has space group R-3 (No. 148, hexagonal axes), with a = 14.9312 Å, b = 14.9312 Å, c = 8.1899 Å, α = 90.00°, β = 90.00° and γ = 120.00°. The inequivalent atoms are K at (0.0000, 0.0000, 0.0000), Mg at (0.0280, 0.2705, 0.3138), Tl at (0.0074, 0.1440, 0.6566) and Tl at (0.0586, 0.5668, 0.6790).

(6)
## KMgTl5 (GGA-PBE)

Data for KMgTl5 after structural relaxation.

The energy relative to the lowest polymorph listed for this composition is 0.0 kJ/mol of formula units. For the formation energy, the calculation gives -0.04 eV/atom. The density of states at the Fermi level is 2.81 states/eV/cell.

It has space group P4/mmm (No. 123), with a = 4.662 Å, b = 4.662 Å, c = 10.825 Å, α = 90.00°, β = 90.00° and γ = 90.00°. The inequivalent atoms are K at (0.000, 0.000, 0.000), Mg at (0.500, 0.500, 0.500), Tl at (0.000, 0.000, 0.500) and Tl at (0.000, 0.500, 0.272).

(7)
## KMg2Tl8 (GGA-PBE)

Data for KMg2Tl8 after structural relaxation.

The energy relative to the lowest polymorph listed for this composition is 0.0 kJ/mol of formula units. For the formation energy, the calculation gives 0.02 eV/atom. The density of states at the Fermi level is 5.42 states/eV/cell.

It has space group P4/mmm (No. 123), with a = 5.509 Å, b = 5.509 Å, c = 11.934 Å, α = 90.00°, β = 90.00° and γ = 90.00°. The inequivalent atoms are K at (0.000, 0.000, 0.000), Mg at (0.000, 0.000, 0.354), Tl at (0.000, 0.500, 0.201), Tl at (0.000, 0.500, 0.500) and Tl at (0.500, 0.500, 0.350).

(8)
## KMgTl2 (GGA-PBE)

Data for KMgTl2 after structural relaxation.

For the formation energy, the calculation gives 0.06 eV/atom. The density of states at the Fermi level is 3.89 states/eV/cell.

It has space group C2/m (No. 12), with a = 7.179 Å, b = 10.053 Å, c = 3.465 Å, α = 90.00°, β = 96.89° and γ = 90.00°. The inequivalent atoms are K at (0.000, 0.000, 0.000), Mg at (0.000, 0.500, 0.000) and Tl at (0.250, 0.250, 0.500).